The following is a GGA+U calculation of crystalline MnINO2 at its relaxed geometry, from Alexandria.

* space group: P4/mmm, No. 123
* magnetization: 5.0 μB/f.u.
* total energy: -4.946 eV/atom

a b c (Å): 4.1121 4.1121 4.2146
angles (deg): 90.00 90.00 90.00
Positions (direct):
Mn: 0.0000 0.0000 0.0000
I: 0.5000 0.5000 0.5000
N: 0.5000 0.5000 0.0000
O: 0.0000 0.5000 0.5000
O: 0.5000 0.0000 0.5000